The following is a DFT calculation (PBE+U) of HfIn2FeO6 after structural relaxation.

It has space group P1 (No. 1), with a = 5.455 Å, b = 5.482 Å, c = 5.791 Å, α = 91.15°, β = 117.22° and γ = 119.50°. The asymmetric unit holds Hf at (0.000, 0.000, 0.000), In at (0.424, 0.211, 0.633), In at (0.425, 0.712, 0.137), Fe at (0.000, 0.502, 0.493), O at (0.189, 0.391, 0.302), O at (0.192, 0.288, 0.815), O at (0.493, 0.109, 0.298), O at (0.527, 0.905, 0.811), O at (0.911, 0.622, 0.802) and O at (0.913, 0.807, 0.298).

The value obtained for the energy is -7.153 eV/atom.